Entry from Alexandria: a relaxed MoP2Cl crystal (PBE-GGA).

The energy above the most stable polymorph in this dataset comes out at 0.5644 eV/atom. As for the crystal system: orthorhombic. The uncorrected formation energy comes out at 0.33 eV/atom. Its volume is 21.1 Å³ per atom.

```
4
Lattice="-2.379 1.999 1.305 1.971 -2.146 1.694 6.263 6.683 1.181" Properties=species:S:1:pos:R:3 pbc="T T T"
Cl 3.586 3.826 0.676
Mo 4.649 5.104 2.414
P 6.234 6.652 1.175
P 0.782 0.978 1.685
```

Entry from Alexandria: a relaxed MoPCl2 crystal (PBE-GGA).

The energy above the most stable polymorph in this dataset comes out at 0.3320 eV/atom. As for the crystal system: tetragonal. The uncorrected formation energy comes out at -0.08 eV/atom. Its volume is 23.4 Å³ per atom.

```
8
Lattice="8.977 0.000 0.000 0.000 8.977 0.000 4.489 4.489 2.321" Properties=species:S:1:pos:R:3 pbc="T T T"
P 4.489 4.489 0.000
P 4.489 8.977 1.161
Mo 0.000 0.000 0.000
Mo 8.977 4.489 1.161
Cl 8.006 2.244 0.580
Cl 9.948 6.733 0.580
Cl 6.733 5.459 1.741
Cl 11.222 3.518 1.741
```

Entry from Alexandria: a relaxed MoP2Cl crystal (PBE-GGA).

The energy above the most stable polymorph in this dataset comes out at 0.2376 eV/atom. As for the crystal system: tetragonal. The uncorrected formation energy comes out at 0.01 eV/atom. Its volume is 16.8 Å³ per atom.

```
4
Lattice="3.197 0.000 0.000 0.000 3.197 0.000 0.000 0.000 6.570" Properties=species:S:1:pos:R:3 pbc="T T T"
Cl 1.599 1.599 1.643
Mo 1.599 1.599 4.928
P 0.000 0.000 6.158
P 0.000 0.000 3.698
```

Entry from Alexandria: a relaxed MoPCl2 crystal (PBE-GGA).

The energy above the most stable polymorph in this dataset comes out at 0.0707 eV/atom. As for the crystal system: tetragonal. The uncorrected formation energy comes out at -0.34 eV/atom. Its volume is 22.4 Å³ per atom.

```
4
Lattice="-2.915 -1.255 0.206 1.228 -2.911 -0.366 0.928 -0.715 8.791" Properties=species:S:1:pos:R:3 pbc="T T T"
Cl 0.866 -0.667 8.199
Cl -0.538 -2.318 2.808
Mo 0.629 -0.485 5.960
P -0.323 -2.484 4.850
```

Entry from Alexandria: a relaxed MoPCl2 crystal (PBE-GGA).

The energy above the most stable polymorph in this dataset comes out at 0.1355 eV/atom. As for the crystal system: orthorhombic. The uncorrected formation energy comes out at -0.28 eV/atom. Its volume is 26.3 Å³ per atom.

```
4
Lattice="-0.774 2.274 -2.145 0.450 -4.967 -5.427 -3.938 -4.932 -3.806" Properties=species:S:1:pos:R:3 pbc="T T T"
Cl -0.406 -1.152 -1.074
Cl -1.338 -3.798 -3.542
Mo -1.259 -1.338 -3.381
P -3.003 -6.287 -7.997
```

Entry from Alexandria: a relaxed MoPCl3 crystal (PBE-GGA).

The energy above the most stable polymorph in this dataset comes out at 1.1332 eV/atom. As for the crystal system: cubic. The uncorrected formation energy comes out at 0.47 eV/atom. Its volume is 24.0 Å³ per atom.

```
5
Lattice="-4.882 -0.613 0.379 0.701 -4.647 1.507 0.170 1.544 4.684" Properties=species:S:1:pos:R:3 pbc="T T T"
P -2.006 -1.858 3.285
Mo 0.000 0.000 0.000
Cl 0.350 -2.323 0.753
Cl 0.085 0.772 2.342
Cl -2.441 -0.307 0.190
```

Entry from Alexandria: a relaxed MoPCl2 crystal (PBE-GGA).

The energy above the most stable polymorph in this dataset comes out at 0.8772 eV/atom. As for the crystal system: tetragonal. The uncorrected formation energy comes out at 0.47 eV/atom. Its volume is 20.1 Å³ per atom.

```
4
Lattice="2.929 0.000 0.000 0.000 2.929 0.000 0.000 0.000 9.355" Properties=species:S:1:pos:R:3 pbc="T T T"
Cl 0.000 0.000 0.823
Cl 0.000 0.000 3.855
Mo 1.465 1.465 2.339
P 1.465 1.465 7.017
```

Entry from Alexandria: a relaxed MoP2Cl crystal (PBE-GGA).

The energy above the most stable polymorph in this dataset comes out at 0.7647 eV/atom. As for the crystal system: monoclinic. The uncorrected formation energy comes out at 0.53 eV/atom. Its volume is 15.7 Å³ per atom.

```
4
Lattice="-2.714 -1.786 3.181 2.951 -3.028 -1.672 2.225 -0.313 2.677" Properties=species:S:1:pos:R:3 pbc="T T T"
Cl -0.245 -1.049 2.929
Mo 2.588 -1.671 0.503
P 0.000 0.000 0.000
P 0.118 -2.407 0.755
```